This record from Alexandria describes an optimized crystal structure of KMgW2. The functional is GGA-PBEsol.

Output
As for the energy of formation: 0.8679 eV per atom. The value obtained for the total magnetic moment is 0.000 μB/atom. For the total energy, the calculation gives -26.994 eV for the cell shown. The density of states at the Fermi level is 2.89 states/eV/f.u. As for the volume: 93.6 Å³/cell.

abc: 2.770 4.055 8.394
angles: 90.00 97.04 90.00
Space group Pm (No. 6)
One atom of each set of equivalent atoms:
1 K 0.000 0.000 0.000
2 Mg 0.596 0.500 0.348
3 W 0.149 0.000 0.542
4 W 0.537 0.500 0.688